CaBeCu2: optimized geometry, PBE.

Lattice parameters (Å, degrees): 3.9927 5.5399 5.5594 137.76 111.23 89.71
With the nearest neighbours (Å) after each atom.
Fractional coordinates of all 4 atoms:
Be1 0.4331 0.5662 0.8676  6 Cu 2.31-2.41
Ca1 0.2464 0.7529 0.4891  4 Be 2.85-3.19, 4 Cu 2.87-3.19
Cu1 0.0559 0.9463 0.1128  3 Cu 2.40-2.41, 3 Be 2.40-2.41
Cu2 0.7646 0.2346 0.5304  3 Be 2.31, 3 Cu 2.40-2.41

Values from the calculation:
* space group: P1
* total DFT energy (no corrections): -0.25845 Ry per atom



Ca2BeGaCu6: optimized geometry, PBE.

Lattice parameters (Å, degrees): 6.2690 6.2690 6.2690 60.00 60.00 90.00
With the nearest neighbours (Å) after each atom.
Fractional coordinates of all 10 atoms:
Ca1 0.2500 0.7500 0.5000  12 Cu 3.14
Ca2 0.7500 0.2500 0.5000  12 Cu 3.14
Be1 0.5000 0.5000 0.0000  6 Cu 2.06
Ga1 0.0000 0.0000 0.0000  6 Cu 2.37
Cu1 0.2671 0.7329 0.0000  1 Be 2.06
Cu2 0.7329 0.7329 0.0000  1 Be 2.06
Cu3 0.2671 0.2671 0.4658  1 Be 2.06
Cu4 0.7329 0.2671 0.0000  1 Be 2.06
Cu5 0.2671 0.2671 0.0000  1 Be 2.06
Cu6 0.7329 0.7329 0.5342  1 Be 2.06

Values from the calculation:
* space group: Fm-3m
* total DFT energy (no corrections): -0.25714 Ry per atom



Ca2BeCuGe: optimized geometry, PBE.

Lattice parameters (Å, degrees): 5.6416 4.4498 5.6416 90.00 90.00 90.00
With the nearest neighbours (Å) after each atom.
Fractional coordinates of all 5 atoms:
Be1 0.5000 0.5000 0.5000  8 Ca 3.59, 4 Cu 3.99
Ge1 0.0000 0.0000 0.0000  2 Cu 2.22
Ca1 0.0000 0.0000 0.5000  2 Ge 2.82
Ca2 0.5000 0.0000 0.0000  2 Ge 2.82
Cu1 0.0000 0.5000 0.0000  2 Ge 2.22

Values from the calculation:
* space group: P4/mmm
* total DFT energy (no corrections): -0.21373 Ry per atom



LiCaBeCu6: optimized geometry, PBE.

Lattice parameters (Å, degrees): 6.5261 6.5861 8.1234 113.92 113.68 90.00
With the nearest neighbours (Å) after each atom.
Fractional coordinates of all 18 atoms:
Li1 0.5000 0.0000 0.5000  6 Cu 2.50-2.53
Li2 0.0000 0.0000 0.5000  6 Cu 2.50-2.53
Ca1 0.6976 0.4476 0.3952  2 Be 3.11, 5 Cu 3.20-3.29
Ca2 0.3024 0.5524 0.6048  2 Be 3.11, 5 Cu 3.20-3.29
Be1 0.5000 0.5000 0.0000  6 Cu 2.19-2.36
Be2 0.5000 0.0000 0.0000  6 Cu 2.19-2.36
Cu1 0.6080 0.8580 0.2160  2 Be 2.19, 4 Cu 2.40
Cu2 0.0556 0.3056 0.1112  8 Cu 2.41-2.63
Cu3 0.8971 0.0327 0.1772  1 Be 2.36, 6 Cu 2.40-2.63, 1 Li 2.53
Cu4 0.2800 0.6445 0.1772  1 Be 2.36, 6 Cu 2.40-2.63, 1 Li 2.53
Cu5 0.2800 0.0327 0.1772  1 Be 2.36, 6 Cu 2.40-2.63, 1 Li 2.53
Cu6 0.8971 0.6445 0.1772  1 Be 2.36, 6 Cu 2.40-2.63, 1 Li 2.53
Cu7 0.3920 0.1420 0.7840  2 Be 2.19, 4 Cu 2.40
Cu8 0.9444 0.6944 0.8888  8 Cu 2.41-2.63
Cu9 0.1029 0.9673 0.8228  1 Be 2.36, 6 Cu 2.40-2.63, 1 Li 2.53
Cu10 0.7200 0.3555 0.8228  1 Be 2.36, 6 Cu 2.40-2.63, 1 Li 2.53
Cu11 0.7200 0.9673 0.8228  1 Be 2.36, 6 Cu 2.40-2.63, 1 Li 2.53
Cu12 0.1029 0.3555 0.8228  1 Be 2.36, 6 Cu 2.40-2.63, 1 Li 2.53

Values from the calculation:
* space group: Imma
* total DFT energy (no corrections): -0.25494 Ry per atom



LiCaBeCu2: optimized geometry, PBE.

Lattice parameters (Å, degrees): 4.3150 4.3150 4.4675 90.00 90.00 90.00
With the nearest neighbours (Å) after each atom.
Fractional coordinates of all 5 atoms:
Be1 0.0000 0.0000 0.0000  4 Cu 2.16, 2 Li 2.23
Ca1 0.5000 0.5000 0.5000  4 Li 3.05, 8 Cu 3.11
Cu1 0.0000 0.5000 0.0000  2 Be 2.16
Cu2 0.5000 0.0000 0.0000  2 Be 2.16
Li1 0.0000 0.0000 0.5000  2 Be 2.23

Values from the calculation:
* space group: P4/mmm
* total DFT energy (no corrections): -0.22632 Ry per atom



Li3Ca2BeCu12: optimized geometry, PBE.

Lattice parameters (Å, degrees): 9.5562 9.5562 9.5562 36.94 36.94 36.94
With the nearest neighbours (Å) after each atom.
Fractional coordinates of all 18 atoms:
Li1 0.5000 0.0000 0.0000  6 Cu 2.39-2.67
Li2 0.0000 0.5000 0.0000  6 Cu 2.39-2.67
Li3 0.0000 0.0000 0.5000  6 Cu 2.39-2.67
Ca1 0.6506 0.6506 0.6506  6 Cu 2.98-3.03
Ca2 0.3494 0.3494 0.3494  6 Cu 2.98-3.03
Be1 0.0000 0.0000 0.0000  6 Cu 2.30
Cu1 0.4196 0.4196 0.8164  2 Li 2.39, 4 Cu 2.40-2.44
Cu2 0.9303 0.9303 0.3410  1 Be 2.30, 4 Cu 2.44-2.49
Cu3 0.3410 0.9303 0.9303  1 Be 2.30, 4 Cu 2.44-2.49
Cu4 0.8164 0.4196 0.4196  2 Li 2.39, 4 Cu 2.40-2.44
Cu5 0.9303 0.3410 0.9303  1 Be 2.30, 4 Cu 2.44-2.49
Cu6 0.4196 0.8164 0.4196  2 Li 2.39, 4 Cu 2.40-2.44
Cu7 0.5804 0.5804 0.1836  2 Li 2.39, 4 Cu 2.40-2.44
Cu8 0.0697 0.0697 0.6590  1 Be 2.30, 4 Cu 2.44-2.49
Cu9 0.6590 0.0697 0.0697  1 Be 2.30, 4 Cu 2.44-2.49
Cu10 0.1836 0.5804 0.5804  2 Li 2.39, 4 Cu 2.40-2.44
Cu11 0.0697 0.6590 0.0697  1 Be 2.30, 4 Cu 2.44-2.49
Cu12 0.5804 0.1836 0.5804  2 Li 2.39, 4 Cu 2.40-2.44

Values from the calculation:
* space group: R-3m
* total DFT energy (no corrections): -0.24447 Ry per atom



Ca2MgBeCu: optimized geometry, PBE.

Lattice parameters (Å, degrees): 5.8512 4.4996 5.8512 90.00 90.00 90.00
With the nearest neighbours (Å) after each atom.
Fractional coordinates of all 5 atoms:
Be1 0.5000 0.5000 0.5000  8 Ca 3.69
Ca1 0.0000 0.0000 0.5000  2 Mg 2.93
Ca2 0.5000 0.0000 0.0000  2 Mg 2.93
Mg1 0.0000 0.0000 0.0000  2 Cu 2.25
Cu1 0.0000 0.5000 0.0000  2 Mg 2.25

Values from the calculation:
* space group: P4/mmm
* total DFT energy (no corrections): -0.13519 Ry per atom



NaCa2BeCu: optimized geometry, PBE.

Lattice parameters (Å, degrees): 5.4840 5.1263 5.4840 90.00 90.00 90.00
With the nearest neighbours (Å) after each atom.
Fractional coordinates of all 5 atoms:
Na1 0.0000 0.5000 0.0000  2 Cu 2.56
Ca1 0.0000 0.0000 0.5000  2 Cu 2.74
Ca2 0.5000 0.0000 0.0000  2 Cu 2.74
Cu1 0.0000 0.0000 0.0000  2 Na 2.56, 4 Ca 2.74
Be1 0.5000 0.5000 0.5000  8 Ca 3.75, 4 Na 3.88

Values from the calculation:
* space group: P4/mmm
* total DFT energy (no corrections): -0.15195 Ry per atom



CaBeNbCu2: optimized geometry, PBE.

Lattice parameters (Å, degrees): 4.4873 4.5870 4.4873 90.00 90.00 90.00
With the nearest neighbours (Å) after each atom.
Fractional coordinates of all 5 atoms:
Be1 0.0000 0.5000 0.0000  2 Ca 2.29
Nb1 0.5000 0.5000 0.5000  4 Be 3.17, 8 Cu 3.21
Ca1 0.0000 0.0000 0.0000  4 Cu 2.24, 2 Be 2.29
Cu1 0.0000 0.0000 0.5000  2 Ca 2.24
Cu2 0.5000 0.0000 0.0000  2 Ca 2.24

Values from the calculation:
* space group: P4/mmm
* total DFT energy (no corrections): -0.23365 Ry per atom



CaBeCu2Pd: optimized geometry, PBE.

Lattice parameters (Å, degrees): 4.2854 4.2854 4.4034 90.00 90.00 90.00
With the nearest neighbours (Å) after each atom.
Fractional coordinates of all 5 atoms:
Be1 0.0000 0.0000 0.0000  4 Cu 2.14, 2 Pd 2.20
Ca1 0.5000 0.5000 0.5000  4 Pd 3.03, 8 Cu 3.07
Cu1 0.0000 0.5000 0.0000  2 Be 2.14
Cu2 0.5000 0.0000 0.0000  2 Be 2.14
Pd1 0.0000 0.0000 0.5000  2 Be 2.20

Values from the calculation:
* space group: P4/mmm
* total DFT energy (no corrections): -0.29134 Ry per atom



CaBeCuPt2: optimized geometry, PBE.

Lattice parameters (Å, degrees): 4.3383 4.3383 4.3229 90.00 90.00 90.00
With the nearest neighbours (Å) after each atom.
Fractional coordinates of all 5 atoms:
Be1 0.0000 0.0000 0.0000  2 Cu 2.16, 4 Pt 2.17
Ca1 0.5000 0.5000 0.5000  8 Pt 3.06, 4 Cu 3.07
Cu1 0.0000 0.0000 0.5000  2 Be 2.16
Pt1 0.0000 0.5000 0.0000  2 Be 2.17
Pt2 0.5000 0.0000 0.0000  2 Be 2.17

Values from the calculation:
* space group: P4/mmm
* energy above the lowest structure with this stoichiometry: 0 meV/atom



The density of states at the Fermi level results, record by record, are as follows: 1.7, 3.7, 3.8, 2.4, 2.7, 6.5, 2.6, 3.1, 2.7, 2.4, 2.2 states/eV/f.u..